1.
Crystalline DyNi2Sn4 at its relaxed geometry. Source: Alexandria, functional GGA-PBE. Values from VASP.

Geometry as Quantum ESPRESSO input:
```
&SYSTEM
  ibrav = 0, nat = 28, ntyp = 3
/
ATOMIC_SPECIES
Sn 118.71 Sn.upf
Dy 162.50 Dy.upf
Ni 58.69 Ni.upf
ATOMIC_POSITIONS crystal
Sn 0.250 0.271 0.700
Dy 0.250 0.001 0.359
Dy 0.750 0.999 0.641
Sn 0.750 0.636 0.971
Sn 0.750 0.771 0.800
Sn 0.750 0.996 0.068
Sn 0.250 0.806 0.179
Ni 0.250 0.741 0.039
Sn 0.250 0.004 0.932
Sn 0.750 0.864 0.471
Sn 0.250 0.364 0.029
Sn 0.750 0.306 0.321
Ni 0.250 0.527 0.287
Sn 0.250 0.136 0.529
Sn 0.250 0.496 0.432
Dy 0.250 0.499 0.859
Ni 0.750 0.473 0.713
Ni 0.250 0.759 0.539
Sn 0.750 0.194 0.821
Sn 0.750 0.729 0.300
Ni 0.750 0.027 0.213
Sn 0.750 0.504 0.568
Sn 0.250 0.694 0.679
Ni 0.750 0.241 0.461
Sn 0.250 0.229 0.200
Ni 0.250 0.973 0.787
Dy 0.750 0.501 0.141
Ni 0.750 0.259 0.961
CELL_PARAMETERS angstrom
-3.502 0.594 -2.446
-0.506 -7.135 -1.008
-10.868 -1.378 15.222
```

- Energy of formation: -347 meV per atom
- M_tot: 0.00 μB per atom

---

2.
Crystalline TbScGaRh at its relaxed geometry. Source: Alexandria, functional GGA-PBE. Values from VASP.

Geometry as Quantum ESPRESSO input:
```
&SYSTEM
  ibrav = 0, nat = 4, ntyp = 4
/
ATOMIC_SPECIES
Ga 69.72 Ga.upf
Sc 44.96 Sc.upf
Rh 102.91 Rh.upf
Tb 158.93 Tb.upf
ATOMIC_POSITIONS crystal
Ga 0.250 0.250 0.250
Sc 0.500 0.500 0.500
Rh 0.750 0.750 0.750
Tb 0.000 0.000 0.000
CELL_PARAMETERS angstrom
-1.440 -4.435 1.280
3.175 -3.646 0.074
1.424 -1.880 4.221
```

- Energy of formation: -688 meV per atom
- M_tot: 0.00 μB per atom

---

3.
Crystalline SiBPN4 at its relaxed geometry. Source: Alexandria, functional GGA-PBE. Values from VASP.

Geometry as Quantum ESPRESSO input:
```
&SYSTEM
  ibrav = 0, nat = 14, ntyp = 4
/
ATOMIC_SPECIES
N 14.01 N.upf
B 10.81 B.upf
Si 28.09 Si.upf
P 30.97 P.upf
ATOMIC_POSITIONS crystal
N 0.057 0.599 0.313
N 0.525 0.951 0.010
B 0.661 0.188 0.348
Si 0.513 0.891 0.753
N 0.156 0.666 0.861
Si 0.270 0.890 0.256
P 0.794 0.554 0.535
N 0.986 0.170 0.208
N 0.506 0.369 0.144
B 0.163 0.459 0.124
N 0.524 0.860 0.460
P 0.744 0.224 0.975
N 0.617 0.263 0.559
N 0.910 0.730 0.713
CELL_PARAMETERS angstrom
-0.066 4.071 1.294
-4.899 0.750 -1.310
-3.799 -0.803 5.009
```

- Relative energy among the computed polymorphs: 47.7 kJ/mol of atoms
- Uncorrected formation energy: -0.335 eV/atom
- M_tot: 0.00 μB per atom

---

4.
Crystalline Pm4Sm7Mg at its relaxed geometry. Source: Alexandria, functional GGA-PBE. Values from VASP.

Geometry as Quantum ESPRESSO input:
```
&SYSTEM
  ibrav = 0, nat = 12, ntyp = 3
/
ATOMIC_SPECIES
Pm 145.00 Pm.upf
Sm 150.36 Sm.upf
Mg 24.30 Mg.upf
ATOMIC_POSITIONS crystal
Pm 0.667 0.333 0.085
Pm 0.333 0.667 0.661
Sm 0.333 0.667 0.170
Sm 0.333 0.667 0.423
Sm 0.000 0.000 0.000
Sm 0.000 0.000 0.746
Pm 0.333 0.667 0.915
Sm 0.000 0.000 0.254
Pm 0.667 0.333 0.339
Mg 0.000 0.000 0.500
Sm 0.667 0.333 0.830
Sm 0.667 0.333 0.577
CELL_PARAMETERS angstrom
3.629 0.000 0.000
-1.815 3.143 0.000
0.000 0.000 35.124
```

- Relative energy among the computed polymorphs: 0.0 kJ/mol of atoms
- Energy of formation: 14 meV per atom
- M_tot: 0.00 μB per atom

---

5.
Crystalline GdPuTlPt at its relaxed geometry. Source: Alexandria, functional GGA-PBE. Values from VASP.

Geometry as Quantum ESPRESSO input:
```
&SYSTEM
  ibrav = 0, nat = 4, ntyp = 4
/
ATOMIC_SPECIES
Pt 195.08 Pt.upf
Tl 204.38 Tl.upf
Pu 244.00 Pu.upf
Gd 157.25 Gd.upf
ATOMIC_POSITIONS crystal
Pt 0.750 0.750 0.750
Tl 0.250 0.250 0.250
Pu 0.000 0.000 0.000
Gd 0.500 0.500 0.500
CELL_PARAMETERS angstrom
5.198 0.000 0.000
2.599 4.501 0.000
2.599 1.500 4.244
```

- Energy of formation: -441 meV per atom
- M_tot: 3.16 μB per atom

---

6.
Crystalline AsBrNF2 at its relaxed geometry. Source: Alexandria, functional GGA-PBE. Values from VASP.

Geometry as Quantum ESPRESSO input:
```
&SYSTEM
  ibrav = 0, nat = 5, ntyp = 4
/
ATOMIC_SPECIES
F 19.00 F.upf
As 74.92 As.upf
Br 79.90 Br.upf
N 14.01 N.upf
ATOMIC_POSITIONS crystal
F 0.000 0.500 0.000
As 0.000 0.000 0.000
F 0.500 0.000 0.000
Br 0.500 0.500 0.500
N 0.000 0.000 0.500
CELL_PARAMETERS angstrom
-3.385 2.081 -0.292
-1.048 -1.193 3.655
2.088 3.646 1.789
```

- Relative energy among the computed polymorphs: 0.0 kJ/mol of atoms
- Uncorrected formation energy: -0.081 eV/atom
- M_tot: 0.04 μB per atom